Record 1
The following is a PBE calculation of UPaTcAs after structural relaxation, from Alexandria via LeMat-Bulk.

It has space group F-43m (No. 216), with a = 6.790 Å, b = 6.790 Å, c = 6.790 Å, α = 90.00°, β = 90.00° and γ = 90.00°. Symmetry generates all atoms from U at (0.000, 0.000, 0.000), Pa at (0.250, 0.250, 0.250), Tc at (0.250, 0.250, 0.750) and As at (0.000, 0.000, 0.500).

Its formation energy is 0.125 eV/f.u.

=====

Record 2
The following is a PBE calculation of PaVTcAs after structural relaxation, from Alexandria via LeMat-Bulk.

It has space group F-43m (No. 216), with a = 6.549 Å, b = 6.549 Å, c = 6.549 Å, α = 90.00°, β = 90.00° and γ = 90.00°. Symmetry generates all atoms from Pa at (0.000, 0.000, 0.000), V at (0.250, 0.250, 0.250), Tc at (0.000, 0.000, 0.500) and As at (0.250, 0.250, 0.750).

Its formation energy is 0.415 eV/f.u.

=====

Number 2 is which compound?
PaVTcAs